BeFePb2 | PBE | relaxed

Cell: 4.5302 4.5302 5.8162 Å, 103.50 103.50 44.65°
Closest atoms and distances in Å follow each position.
Positions (direct):
Be: 0.0000 0.0000 0.0000  6 Pb 2.81-2.83
Fe: 0.5000 0.5000 0.5000  6 Pb 2.82-2.84
Pb: 0.2500 0.2500 0.7503  3 Be 2.81-2.83, 3 Fe 2.82-2.84
Pb: 0.7500 0.7500 0.2497  3 Be 2.81-2.83, 3 Fe 2.82-2.84

## Properties
- Calculated volume: 81 Å³/f.u.
- Formation energy from the elements: 0.76 eV/atom
- E: -4.140 eV per atom
- Spin magnetization: 2.59 Bohr magnetons per cell

***

BeFe2Pb | PBE | relaxed

Cell: 3.0100 3.0100 6.5240 Å, 90.00 90.00 90.00°
Closest atoms and distances in Å follow each position.
Positions (direct):
Be: 0.0000 0.0000 0.0000  8 Fe 2.41
Fe: 0.5000 0.5000 0.1722  1 Fe 2.25, 4 Be 2.41
Fe: 0.5000 0.5000 0.8278  1 Fe 2.25, 4 Be 2.41
Pb: 0.0000 0.0000 0.5000  4 Pb 3.01, 8 Fe 3.02, 2 Be 3.26

## Properties
- Calculated volume: 59 Å³/f.u.
- Formation energy from the elements: 0.42 eV/atom
- Offset from the most stable computed form: 0.081 eV per atom
- E: -5.674 eV per atom
- Spin magnetization: 4.69 Bohr magnetons per cell

***

Q: Which of these has the lowest spin magnetization?
A: BeFePb2

***

Q: What is the E in the first record?
A: -4.140 eV per atom